Below is Mg2CdI after structural relaxation, with properties calculated at the PBE level.

Lattice parameters (Å, degrees): 7.7246 7.7246 7.7246 90.00 90.00 90.00
Space group Fm-3m (No. 225)
Symmetry-distinct sites (fractional):
Mg (0.2500, 0.2500, 0.2500) (multiplicity 8)
Cd (0.0000, 0.0000, 0.0000) (multiplicity 4)
I (0.0000, 0.0000, 0.5000) (multiplicity 4)

Output
ΔE_f (raw)	0.103	eV per atom
VASP energy	-1.310	eV per atom
V	28.8	A^3/atom

Below is ThZrPa2 after structural relaxation, with properties calculated at the PBE level.

Lattice parameters (Å, degrees): 4.6242 4.6242 4.9373 90.00 90.00 90.00
Space group P4/mmm (No. 123)
Symmetry-distinct sites (fractional):
Th (0.0000, 0.0000, 0.0000) (multiplicity 1)
Zr (0.5000, 0.5000, 0.0000) (multiplicity 1)
Pa (0.0000, 0.5000, 0.5000) (multiplicity 2)

Output
ΔE_f	0.16	eV/atom
VASP energy	-8.581	eV per atom
V	26.4	A^3/atom

Below is Pm2NdHoS6 after structural relaxation, with properties calculated at the PBE level.

Lattice parameters (Å, degrees): 7.0892 7.0892 18.7622 90.00 90.00 120.00
Space group R3 (No. 146, hexagonal axes)
Symmetry-distinct sites (fractional):
Pm (0.0000, 0.0000, 0.0000) (multiplicity 3)
Pm (0.0000, 0.0000, 0.4970) (multiplicity 3)
Nd (0.0000, 0.0000, 0.2059) (multiplicity 3)
Ho (0.0000, 0.0000, 0.7015) (multiplicity 3)
S (0.0006, 0.7081, 0.6033) (multiplicity 9)
S (0.0377, 0.3573, 0.7688) (multiplicity 9)

Output
ΔE_f (raw)	-2.028	eV per atom
VASP energy	-6.389	eV per atom
V	27.2	A^3/atom

Below is Sm4U after structural relaxation, with properties calculated at the PBE level.

Lattice parameters (Å, degrees): 5.6321 5.6321 5.6321 90.00 90.00 90.00
Space group Pm-3m (No. 221)
Symmetry-distinct sites (fractional):
Sm (0.0000, 0.0000, 0.0000) (multiplicity 1)
Sm (0.0000, 0.5000, 0.5000) (multiplicity 3)
U (0.5000, 0.5000, 0.5000) (multiplicity 1)

Output
ΔE_f	0.75	eV/atom
VASP energy	-5.284	eV per atom
V	35.7	A^3/atom

Below is LaSnPd2 after structural relaxation, with properties calculated at the PBE level.

Lattice parameters (Å, degrees): 4.8559 4.8559 17.6470 90.00 90.00 90.00
Space group I-42d (No. 122)
Symmetry-distinct sites (fractional):
La (0.0000, 0.0000, 0.0000) (multiplicity 4)
Sn (0.0000, 0.0000, 0.5000) (multiplicity 4)
Pd (0.1549, 0.2500, 0.6250) (multiplicity 8)

Output
ΔE_f	-0.46	eV/atom
VASP energy	-5.290	eV per atom
V	26.0	A^3/atom

Below is KH3Au after structural relaxation, with properties calculated at the PBE level.

Lattice parameters (Å, degrees): 6.0038 6.0038 3.7830 90.00 90.00 90.00
Space group P4/mbm (No. 127)
Symmetry-distinct sites (fractional):
K (0.0000, 0.0000, 0.0000) (multiplicity 2)
H (0.0000, 0.5000, 0.0000) (multiplicity 2)
H (0.1984, 0.3016, 0.5000) (multiplicity 4)
Au (0.0000, 0.5000, 0.5000) (multiplicity 2)

Output
VASP energy	-3.059	eV per atom
V	13.6	A^3/atom

Below is ZrTcRu2 after structural relaxation, with properties calculated at the PBE level.

Lattice parameters (Å, degrees): 9.4895 2.9378 4.7040 90.00 101.90 90.00
Space group Cm (No. 8)
Symmetry-distinct sites (fractional):
Zr (0.0000, 0.0000, 0.0000) (multiplicity 2)
Tc (0.2731, 0.5000, 0.3147) (multiplicity 2)
Ru (0.0046, 0.5000, 0.4950) (multiplicity 2)
Ru (0.2379, 0.0000, 0.7621) (multiplicity 2)

Output
ΔE_f	-0.04	eV/atom
VASP energy	-9.404	eV per atom
V	16.0	A^3/atom

Below is Rb6Hg2AuF after structural relaxation, with properties calculated at the PBE level.

Lattice parameters (Å, degrees): 8.1556 9.3227 14.5056 90.00 122.59 90.00
Space group P2_1/c (No. 14)
Symmetry-distinct sites (fractional):
Rb (0.1322, 0.0180, 0.2295) (multiplicity 4)
Rb (0.2055, 0.7094, 0.0467) (multiplicity 4)
Rb (0.3463, 0.1715, 0.0420) (multiplicity 4)
Hg (0.3049, 0.1004, 0.7473) (multiplicity 4)
Au (0.5000, 0.0000, 0.5000) (multiplicity 2)
F (0.0000, 0.0000, 0.0000) (multiplicity 2)

Output
ΔE_f (raw)	-0.617	eV per atom
VASP energy	-1.772	eV per atom
V	46.5	A^3/atom

Below is LiAcScPt after structural relaxation, with properties calculated at the PBE level.

Lattice parameters (Å, degrees): 7.2268 7.2268 7.2268 90.00 90.00 90.00
Space group F-43m (No. 216)
Symmetry-distinct sites (fractional):
Li (0.0000, 0.0000, 0.0000) (multiplicity 4)
Ac (0.2500, 0.2500, 0.2500) (multiplicity 4)
Sc (0.2500, 0.2500, 0.7500) (multiplicity 4)
Pt (0.0000, 0.0000, 0.5000) (multiplicity 4)

Output
ΔE_f	-0.45	eV/atom
VASP energy	-5.045	eV per atom
V	23.6	A^3/atom

Below is Pm3HoSc6 after structural relaxation, with properties calculated at the PBE level.

Lattice parameters (Å, degrees): 11.7657 15.7894 6.1135 90.00 90.00 90.00
Space group Cmc2_1 (No. 36)
Symmetry-distinct sites (fractional):
Pm (0.0000, 0.0884, 0.0000) (multiplicity 4)
Pm (0.1971, 0.4213, 0.5142) (multiplicity 8)
Ho (0.0000, 0.2858, 0.7986) (multiplicity 4)
Sc (0.0000, 0.2559, 0.3394) (multiplicity 4)
Sc (0.0000, 0.4423, 0.1223) (multiplicity 4)
Sc (0.1410, 0.0982, 0.4986) (multiplicity 8)
Sc (0.2155, 0.2588, 0.1260) (multiplicity 8)

Output
ΔE_f	0.18	eV/atom
VASP energy	-5.499	eV per atom
V	28.4	A^3/atom

Below is TbTmI3 after structural relaxation, with properties calculated at the PBE level.

Lattice parameters (Å, degrees): 20.8666 4.0586 11.3210 90.00 112.48 90.00
Space group C2/m (No. 12)
Symmetry-distinct sites (fractional):
Tb (0.0729, 0.0000, 0.2431) (multiplicity 4)
Tm (0.0703, 0.5000, 0.9718) (multiplicity 4)
I (0.0743, 0.0000, 0.7624) (multiplicity 4)
I (0.1367, 0.5000, 0.4593) (multiplicity 4)
I (0.1860, 0.0000, 0.1341) (multiplicity 4)

Output
ΔE_f (raw)	-1.087	eV per atom
VASP energy	-3.837	eV per atom
V	44.3	A^3/atom

Below is Fe5Re after structural relaxation, with properties calculated at the PBE level.

Lattice parameters (Å, degrees): 2.8687 2.8687 8.8091 90.00 90.00 90.00
Space group P4/mmm (No. 123)
Symmetry-distinct sites (fractional):
Fe (0.0000, 0.0000, 0.0000) (multiplicity 1)
Fe (0.0000, 0.0000, 0.3214) (multiplicity 2)
Fe (0.5000, 0.5000, 0.1617) (multiplicity 2)
Re (0.5000, 0.5000, 0.5000) (multiplicity 1)

Output
ΔE_f	0.02	eV/atom
VASP energy	-9.107	eV per atom
V	12.1	A^3/atom